[1]
VASP calculation (PBE) on a relaxed Dy5Ni2Ir crystal.

Properties
The energy relative to the elements comes out at -0.4895 eV per atom. As for the density: 10.3 Mg/m³.

Cell lengths 7.0348, 7.0348, 14.6708 Å; angles 90.00, 90.00, 90.00 degrees
Last column: nearest neighbours and their distance in Å.
Space group I4/mcm (No. 140)
Symmetry-distinct sites (fractional):
1 Dy 0.0000 0.0000 0.0000 [4 per cell]  4 Ni 2.80
2 Dy 0.1750 0.3250 0.1462 [16 per cell]  3 Ni 2.96-3.01, 2 Ir 3.01
3 Ni 0.1197 0.3803 0.5000 [8 per cell]  1 Ni 2.38
4 Ir 0.0000 0.0000 0.2500 [4 per cell]  8 Dy 3.01



[2]
VASP calculation (PBE) on a relaxed KRb2Tc2 crystal.

Properties
The energy relative to the elements comes out at 1.3695 eV per atom. The value obtained for the energy above the lowest structure with this stoichiometry is 0.149 eV per atom. As for the density: 2.8 Mg/m³.

Cell lengths 5.7485, 5.7485, 14.6013 Å; angles 90.00, 90.00, 90.00 degrees
Last column: nearest neighbours and their distance in Å.
Space group I4/mmm (No. 139)
Symmetry-distinct sites (fractional):
1 K 0.0000 0.0000 0.0000 [2 per cell]  8 Tc 4.19, 8 Rb 4.65
2 Rb 0.0000 0.5000 0.2500 [4 per cell]  4 Tc 3.90, 4 Rb 4.06
3 Tc 0.0000 0.0000 0.4306 [4 per cell]  1 Tc 2.03



[3]
VASP calculation (PBE) on a relaxed MgNb2BrF crystal.

Properties
As for the formation energy (no corrections): 5.77 kcal/mol of atoms. As for the density: 5.2 Mg/m³.

Cell lengths 4.2557, 4.2557, 5.4146 Å; angles 90.00, 90.00, 90.00 degrees
Last column: nearest neighbours and their distance in Å.
Space group P4/mmm (No. 123)
Symmetry-distinct sites (fractional):
1 Mg 0.0000 0.0000 0.0000 [1 per cell]  2 F 2.71, 4 Br 3.01
2 Nb 0.0000 0.5000 0.5000 [2 per cell]  2 F 2.13
3 Br 0.5000 0.5000 0.0000 [1 per cell]  4 Mg 3.01
4 F 0.0000 0.0000 0.5000 [1 per cell]  4 Nb 2.13



[4]
VASP calculation (PBE) on a relaxed ErAlGaCu2 crystal.

Properties
The energy relative to the elements comes out at -0.3927 eV per atom. As for the density: 7.6 Mg/m³.

Cell lengths 3.7578, 4.0621, 11.1602 Å; angles 90.00, 90.00, 90.00 degrees
Last column: nearest neighbours and their distance in Å.
Space group Imm2 (No. 44)
Symmetry-distinct sites (fractional):
1 Er 0.0000 0.0000 0.0000 [2 per cell]  6 Cu 2.99-3.24, 4 Ga 3.05
2 Al 0.0000 0.5000 0.7584 [2 per cell]  2 Cu 2.45, 2 Ga 2.59
3 Ga 0.0000 0.0000 0.6139 [2 per cell]  3 Cu 2.40-2.52, 2 Al 2.59
4 Cu 0.0000 0.0000 0.3993 [2 per cell]  1 Ga 2.40, 2 Al 2.45, 2 Cu 2.53
5 Cu 0.0000 0.5000 0.2639 [2 per cell]  2 Ga 2.52, 2 Cu 2.53, 4 Al 2.77



[5]
VASP calculation (PBE) on a relaxed Ce4C crystal.

Properties
The energy relative to the elements comes out at 0.0267 eV per atom. As for the density: 7.7 Mg/m³.

Cell lengths 4.9768, 4.9768, 4.9768 Å; angles 90.00, 90.00, 90.00 degrees
Last column: nearest neighbours and their distance in Å.
Space group Pm-3m (No. 221)
Symmetry-distinct sites (fractional):
1 Ce 0.0000 0.0000 0.0000 [1 per cell]  12 Ce 3.52
2 Ce 0.0000 0.5000 0.5000 [3 per cell]  2 C 2.49
3 C 0.5000 0.5000 0.5000 [1 per cell]  6 Ce 2.49



[6]
VASP calculation (PBE) on a relaxed Hg5Ge3Au12 crystal.

Properties
The energy relative to the elements comes out at 0.2350 eV per atom. As for the density: 11.8 Mg/m³.

Cell lengths 15.9263, 15.9263, 15.9263 Å; angles 90.00, 90.00, 90.00 degrees
Last column: nearest neighbours and their distance in Å.
Space group Ia-3d (No. 230)
Symmetry-distinct sites (fractional):
1 Hg 0.0000 0.0000 0.0000 [16 per cell]  6 Au 2.79
2 Hg 0.0000 0.2500 0.3750 [24 per cell]  4 Au 2.81
3 Ge 0.0000 0.2500 0.1250 [24 per cell]  4 Au 2.55
4 Au 0.0139 0.0920 0.6487 [96 per cell]  1 Ge 2.55, 2 Hg 2.79-2.81, 1 Au 2.80



[7]
VASP calculation (PBE) on a relaxed ScTi2AuN crystal.

Properties
The value obtained for the energy above the lowest structure with this stoichiometry is 2.244 eV per atom. As for the formation energy (no corrections): 27.30 kcal/mol of atoms. As for the density: 5.5 Mg/m³.

Cell lengths 5.2411, 5.2411, 3.8441 Å; angles 90.00, 90.00, 90.00 degrees
Last column: nearest neighbours and their distance in Å.
Space group P4/mmm (No. 123)
Symmetry-distinct sites (fractional):
1 Sc 0.0000 0.0000 0.0000 [1 per cell]  8 Ti 3.25
2 Ti 0.0000 0.5000 0.5000 [2 per cell]  2 Au 2.62
3 Au 0.5000 0.5000 0.5000 [1 per cell]  2 N 1.92
4 N 0.5000 0.5000 0.0000 [1 per cell]  2 Au 1.92



[8]
VASP calculation (PBE) on a relaxed NiBi8Pt2 crystal.

Properties
The energy relative to the elements comes out at 0.0608 eV per atom. As for the density: 10.2 Mg/m³.

Cell lengths 11.5229, 10.6053, 5.6379 Å; angles 90.00, 91.81, 90.00 degrees
Last column: nearest neighbours and their distance in Å.
Space group C2/m (No. 12)
Symmetry-distinct sites (fractional):
1 Ni 0.0000 0.0000 0.0000 [2 per cell]  6 Bi 2.65-2.76, 2 Pt 2.77
2 Bi 0.0551 0.5000 0.7535 [4 per cell]  1 Pt 2.67
3 Bi 0.0698 0.2077 0.2631 [8 per cell]  1 Pt 2.76, 1 Ni 2.76
4 Bi 0.1880 0.0000 0.7407 [4 per cell]  1 Ni 2.65, 2 Pt 2.83-2.84
5 Pt 0.2134 0.0000 0.2415 [4 per cell]  5 Bi 2.67-2.84, 1 Ni 2.77



[9]
VASP calculation (PBE) on a relaxed LiHf2Cr2 crystal.

Properties
The energy relative to the elements comes out at 0.8716 eV per atom. The value obtained for the energy above the lowest structure with this stoichiometry is 0.535 eV per atom. As for the density: 7.9 Mg/m³.

Cell lengths 4.2425, 4.2425, 10.8901 Å; angles 90.00, 90.00, 90.00 degrees
Last column: nearest neighbours and their distance in Å.
Space group I4/mmm (No. 139)
Symmetry-distinct sites (fractional):
1 Li 0.0000 0.0000 0.0000 [2 per cell]  8 Cr 3.14, 8 Hf 3.45
2 Hf 0.0000 0.5000 0.2500 [4 per cell]  4 Cr 2.77, 4 Hf 3.00
3 Cr 0.0000 0.0000 0.4137 [4 per cell]  1 Cr 1.88



[10]
VASP calculation (PBE) on a relaxed Sm3SiCl3 crystal.

Properties
As for the formation energy (no corrections): -37.22 kcal/mol of atoms. As for the density: 5.0 Mg/m³.

Cell lengths 11.5623, 11.5623, 11.5623 Å; angles 90.00, 90.00, 90.00 degrees
Last column: nearest neighbours and their distance in Å.
Space group I4_132 (No. 214)
Symmetry-distinct sites (fractional):
1 Sm 0.1178 0.3678 0.1250 [24 per cell]  2 Si 2.81, 4 Cl 2.91-2.98
2 Si 0.1250 0.1250 0.1250 [8 per cell]  6 Sm 2.81
3 Cl 0.1238 0.1262 0.6250 [24 per cell]  4 Sm 2.91-2.98



[11]
VASP calculation (PBE) on a relaxed CeU2AlC4 crystal.

Properties
The energy relative to the elements comes out at -0.1281 eV per atom. As for the density: 9.6 Mg/m³.

Cell lengths 3.6070, 11.4306, 11.5920 Å; angles 90.00, 90.00, 90.00 degrees
Last column: nearest neighbours and their distance in Å.
Space group Cmcm (No. 63)
Symmetry-distinct sites (fractional):
1 Ce 0.0000 0.1107 0.2500 [4 per cell]  6 C 2.66-2.86
2 U 0.0000 0.3747 0.0499 [8 per cell]  6 C 2.31-2.44
3 Al 0.0000 0.1530 0.7500 [4 per cell]  4 C 1.99-2.09
4 C 0.0000 0.0000 0.0000 [4 per cell]  4 U 2.37
5 C 0.0000 0.2556 0.6111 [8 per cell]  1 Al 1.99
6 C 0.0000 0.4401 0.2500 [4 per cell]  2 Al 2.09



[12]
VASP calculation (PBE) on a relaxed MnTcSbPd2 crystal.

Properties
As for the formation energy (no corrections): 26.72 kcal/mol of atoms. As for the density: 7.0 Mg/m³.

Cell lengths 4.8946, 4.8946, 4.8491 Å; angles 90.00, 90.00, 90.00 degrees
Last column: nearest neighbours and their distance in Å.
Space group P4/mmm (No. 123)
Symmetry-distinct sites (fractional):
1 Mn 0.0000 0.0000 0.0000 [1 per cell]  2 Sb 2.42
2 Tc 0.5000 0.5000 0.0000 [1 per cell]  8 Pd 3.44, 4 Mn 3.46
3 Sb 0.0000 0.0000 0.5000 [1 per cell]  2 Mn 2.42, 4 Pd 2.45
4 Pd 0.0000 0.5000 0.5000 [2 per cell]  2 Sb 2.45



[13]
VASP calculation (PBE) on a relaxed Tb2Zn2In3 crystal.

Properties
The energy relative to the elements comes out at -0.3216 eV per atom. As for the density: 7.9 Mg/m³.

Cell lengths 4.4517, 20.2771, 3.6796 Å; angles 90.00, 90.00, 90.00 degrees
Last column: nearest neighbours and their distance in Å.
Space group Cmmm (No. 65)
Symmetry-distinct sites (fractional):
1 Tb 0.0000 0.1639 0.0000 [4 per cell]  6 Zn 3.03-3.09, 5 In 3.32-3.38
2 Zn 0.0000 0.2826 0.5000 [4 per cell]  2 Zn 2.59, 1 In 2.84
3 In 0.0000 0.0000 0.0000 [2 per cell]  10 In 3.29-3.68, 2 Tb 3.32
4 In 0.0000 0.4227 0.5000 [4 per cell]  1 Zn 2.84, 1 In 3.14



[14]
VASP calculation (PBE) on a relaxed CdFePb2 crystal.

Properties
The energy relative to the elements comes out at 0.3743 eV per atom. As for the density: 9.9 Mg/m³.

Cell lengths 3.2619, 3.2619, 9.1891 Å; angles 90.00, 90.00, 90.00 degrees
Last column: nearest neighbours and their distance in Å.
Space group P4/mmm (No. 123)
Symmetry-distinct sites (fractional):
1 Cd 0.0000 0.0000 0.0000 [1 per cell]  4 Cd 3.26, 8 Pb 3.55
2 Fe 0.0000 0.0000 0.5000 [1 per cell]  8 Pb 2.98, 4 Fe 3.26
3 Pb 0.5000 0.5000 0.2944 [2 per cell]  4 Fe 2.98, 4 Pb 3.26



[15]
VASP calculation (PBE) on a relaxed ScAsCl2 crystal.

Properties
The value obtained for the energy above the lowest structure with this stoichiometry is 0.216 eV per atom. As for the formation energy (no corrections): -21.71 kcal/mol of atoms. As for the density: 3.0 Mg/m³.

Cell lengths 3.0746, 3.0746, 10.9914 Å; angles 90.00, 90.00, 90.00 degrees
Last column: nearest neighbours and their distance in Å.
Space group P4/mmm (No. 123)
Symmetry-distinct sites (fractional):
1 Sc 0.0000 0.0000 0.0000 [1 per cell]  8 Cl 2.67
2 As 0.0000 0.0000 0.5000 [1 per cell]  4 As 3.07
3 Cl 0.5000 0.5000 0.1403 [2 per cell]  4 Sc 2.67



[16]
VASP calculation (PBE) on a relaxed AlCdP2O crystal.

Properties
The value obtained for the energy above the lowest structure with this stoichiometry is 0.000 eV per atom. As for the formation energy (no corrections): -5.76 kcal/mol of atoms. As for the density: 4.1 Mg/m³.

Cell lengths 5.0877, 5.0877, 3.3675 Å; angles 90.00, 90.00, 90.00 degrees
Last column: nearest neighbours and their distance in Å.
Space group P4/mmm (No. 123)
Symmetry-distinct sites (fractional):
1 Al 0.0000 0.0000 0.0000 [1 per cell]  2 O 1.68
2 Cd 0.5000 0.5000 0.5000 [1 per cell]  8 P 3.05, 2 Cd 3.37
3 P 0.0000 0.5000 0.0000 [2 per cell]  2 Al 2.54
4 O 0.0000 0.0000 0.5000 [1 per cell]  2 Al 1.68



[17]
VASP calculation (PBE) on a relaxed MgOsAu2O crystal.

Properties
As for the formation energy (no corrections): 14.07 kcal/mol of atoms. As for the density: 11.8 Mg/m³.

Cell lengths 5.0112, 5.0112, 3.5072 Å; angles 90.00, 90.00, 90.00 degrees
Last column: nearest neighbours and their distance in Å.
Space group P4/mmm (No. 123)
Symmetry-distinct sites (fractional):
1 Mg 0.0000 0.0000 0.0000 [1 per cell]  2 O 1.75
2 Os 0.5000 0.5000 0.5000 [1 per cell]  8 Au 3.06
3 Au 0.0000 0.5000 0.0000 [2 per cell]  2 Mg 2.51
4 O 0.0000 0.0000 0.5000 [1 per cell]  2 Mg 1.75



[18]
VASP calculation (PBE) on a relaxed LiScTe3 crystal.

Properties
The value obtained for the energy above the lowest structure with this stoichiometry is 0.000 eV per atom. As for the formation energy (no corrections): -18.98 kcal/mol of atoms. As for the density: 4.6 Mg/m³.

Cell lengths 9.4435, 7.8838, 8.5177 Å; angles 90.00, 90.08, 90.00 degrees
Last column: nearest neighbours and their distance in Å.
Space group P2_1/c (No. 14)
Symmetry-distinct sites (fractional):
1 Li 0.0727 0.1205 0.3720 [4 per cell]  5 Te 2.75-2.98
2 Sc 0.3031 0.6313 0.6197 [4 per cell]  6 Te 2.85-3.05
3 Te 0.1118 0.7365 0.8786 [4 per cell]  3 Li 2.84-2.98, 2 Sc 2.93-2.97
4 Te 0.2388 0.2216 0.1234 [4 per cell]  2 Li 2.75-2.93, 1 Sc 2.85, 1 Te 2.86
5 Te 0.4708 0.6377 0.3224 [4 per cell]  1 Te 2.86, 3 Sc 2.97-3.05



[19]
VASP calculation (PBE) on a relaxed CsSrCd2Ir crystal.

Properties
The energy relative to the elements comes out at -0.0168 eV per atom. As for the density: 6.2 Mg/m³.

Cell lengths 5.5052, 5.5052, 5.6080 Å; angles 90.00, 90.00, 90.00 degrees
Last column: nearest neighbours and their distance in Å.
Space group P4/mmm (No. 123)
Symmetry-distinct sites (fractional):
1 Cs 0.0000 0.0000 0.0000 [1 per cell]  4 Sr 3.89, 8 Cd 3.93
2 Sr 0.5000 0.5000 0.0000 [1 per cell]  2 Ir 2.80
3 Cd 0.0000 0.5000 0.5000 [2 per cell]  2 Ir 2.75
4 Ir 0.5000 0.5000 0.5000 [1 per cell]  4 Cd 2.75, 2 Sr 2.80



[20]
VASP calculation (PBE) on a relaxed SiOF2 crystal.

Properties
The value obtained for the energy above the lowest structure with this stoichiometry is 2.223 eV per atom. As for the formation energy (no corrections): -17.99 kcal/mol of atoms. As for the density: 2.5 Mg/m³.

Cell lengths 2.7021, 2.7021, 26.0722 Å; angles 90.00, 90.00, 120.00 degrees
Last column: nearest neighbours and their distance in Å.
Space group R-3m (No. 166, hexagonal axes)
Symmetry-distinct sites (fractional):
1 Si 0.0000 0.0000 0.0000 [3 per cell]  2 F 1.63
2 O 0.0000 0.0000 0.5000 [3 per cell]  6 O 2.70
3 F 0.0000 0.0000 0.0624 [6 per cell]  1 Si 1.63



[21]
VASP calculation (PBE) on a relaxed Ba2Ga2Bi crystal.

Properties
The energy relative to the elements comes out at -0.1325 eV per atom. The value obtained for the energy above the lowest structure with this stoichiometry is 0.346 eV per atom. As for the density: 5.5 Mg/m³.

Cell lengths 5.6100, 5.6100, 11.9512 Å; angles 90.00, 90.00, 90.00 degrees
Last column: nearest neighbours and their distance in Å.
Space group I4/mmm (No. 139)
Symmetry-distinct sites (fractional):
1 Ba 0.0000 0.5000 0.2500 [4 per cell]  4 Ga 3.34
2 Ga 0.0000 0.0000 0.0977 [4 per cell]  1 Ga 2.34
3 Bi 0.0000 0.0000 0.5000 [2 per cell]  8 Ba 4.10, 8 Ga 4.14